No. 1
Compound: Tl5CuBr6
Source: Alexandria
Functional: PBE
Structure: optimized geometry

Cell: 8.0800 8.4267 8.0263 Å, 81.89 59.78 73.72°
With the nearest neighbours (Å) after each atom.
Fractional positions:
Br (0.5452, 0.2768, 0.3520)  5 Tl 3.20-3.38
Br (0.8972, 0.2768, 0.6480)  5 Tl 3.20-3.38
Br (0.8054, 0.8487, 0.0000)  1 Cu 2.28
Br (0.4548, 0.7232, 0.6480)  5 Tl 3.20-3.38
Br (0.1946, 0.1513, 0.0000)  1 Cu 2.28
Br (0.1028, 0.7232, 0.3520)  5 Tl 3.20-3.38
Tl (0.8436, 0.5000, 0.3128)  4 Br 3.20-3.33
Tl (0.5000, 0.5000, 0.0000)  4 Br 3.29
Tl (0.1564, 0.5000, 0.6872)  4 Br 3.20-3.33
Tl (0.3175, 0.0000, 0.3651)  6 Br 3.31-3.52
Tl (0.6825, 0.0000, 0.6349)  6 Br 3.31-3.52
Cu (0.0000, 0.0000, 0.0000)  2 Br 2.28

Properties
V (Å³ per atom): 37.8
Calculated total energy (eV per atom): -2.8833
Uncorrected formation energy (meV per atom): -720
Fermi-level density of states (states/eV per atom): 0.00



No. 2
Compound: Tl3Cu2Br4
Source: Alexandria
Functional: PBE
Structure: optimized geometry

Cell: 6.8667 9.6355 9.6355 Å, 64.14 97.77 97.77°
With the nearest neighbours (Å) after each atom.
Fractional positions:
Tl (0.0336, 0.0779, 0.7274)  3 Br 3.14-3.39
Tl (0.7500, 0.4589, 0.5411)  4 Br 3.53-3.56, 2 Tl 3.53
Tl (0.9664, 0.9221, 0.2726)  3 Br 3.14-3.39
Tl (0.5336, 0.7274, 0.0779)  3 Br 3.14-3.39
Tl (0.2500, 0.5411, 0.4589)  4 Br 3.53-3.56, 2 Tl 3.53
Tl (0.4664, 0.2726, 0.9221)  3 Br 3.14-3.39
Br (0.6037, 0.3753, 0.2179)  2 Cu 2.49-2.50
Br (0.9475, 0.3107, 0.9345)  2 Cu 2.49-2.51
Br (0.5525, 0.0655, 0.6893)  2 Cu 2.49-2.51
Br (0.0525, 0.6893, 0.0655)  2 Cu 2.49-2.51
Br (0.3963, 0.6247, 0.7821)  2 Cu 2.49-2.50
Br (0.8963, 0.7821, 0.6247)  2 Cu 2.49-2.50
Br (0.4475, 0.9345, 0.3107)  2 Cu 2.49-2.51
Br (0.1037, 0.2179, 0.3753)  2 Cu 2.49-2.50
Cu (0.5591, 0.8676, 0.5899)  4 Br 2.49-2.51, 1 Cu 2.55
Cu (0.9409, 0.4101, 0.1324)  4 Br 2.49-2.51, 1 Cu 2.55
Cu (0.0591, 0.5899, 0.8676)  4 Br 2.49-2.51, 1 Cu 2.55
Cu (0.4409, 0.1324, 0.4101)  4 Br 2.49-2.51, 1 Cu 2.55

Properties
V (Å³ per atom): 31.5
Calculated total energy (eV per atom): -2.8502
Uncorrected formation energy (meV per atom): -408
Fermi-level density of states (states/eV per atom): 0.19



No. 3
Compound: TlCu2Br2
Source: Alexandria
Functional: PBE
Structure: optimized geometry

Cell: 8.4284 8.4284 3.5078 Å, 90.00 90.00 90.00°
With the nearest neighbours (Å) after each atom.
Fractional positions:
Cu (0.6030, 0.8970, 0.5000)  1 Cu 2.46
Cu (0.3970, 0.1030, 0.5000)  1 Cu 2.46
Cu (0.8970, 0.3970, 0.5000)  1 Cu 2.46
Cu (0.1030, 0.6030, 0.5000)  1 Cu 2.46
Br (0.8545, 0.6455, 0.0000)  4 Cu 2.76
Br (0.6455, 0.1455, 0.0000)  4 Cu 2.76
Br (0.3545, 0.8545, 0.0000)  4 Cu 2.76
Br (0.1455, 0.3545, 0.0000)  4 Cu 2.76
Tl (0.0000, 0.0000, 0.0000)  4 Br 3.23, 2 Tl 3.51
Tl (0.5000, 0.5000, 0.0000)  4 Br 3.23, 2 Tl 3.51

Properties
Energy above the most stable polymorph in this dataset (kJ/mol of atoms): 24.9
V (Å³ per atom): 24.9
Calculated total energy (eV per atom): -2.5930
Uncorrected formation energy (meV per atom): 188
Fermi-level density of states (states/eV per atom): 0.26



No. 4
Compound: Tl3CuBr4
Source: Alexandria
Functional: PBE
Structure: optimized geometry

Cell: 6.6435 9.5654 9.6029 Å, 90.00 90.00 90.00°
With the nearest neighbours (Å) after each atom.
Fractional positions:
Br (0.5807, 0.6883, 0.7285)  1 Cu 2.48
Br (0.0690, 0.9542, 0.0000)  1 Cu 2.48
Br (0.1130, 0.7532, 0.5000)  1 Cu 2.53
Br (0.0807, 0.3117, 0.7715)  1 Cu 2.48
Br (0.5690, 0.0458, 0.5000)  1 Cu 2.48
Br (0.6130, 0.2468, 0.0000)  1 Cu 2.53
Br (0.5807, 0.6883, 0.2715)  1 Cu 2.48
Br (0.0807, 0.3117, 0.2285)  1 Cu 2.48
Tl (0.0626, 0.0900, 0.5000)  5 Br 3.24-3.39
Tl (0.5599, 0.3449, 0.6987)  3 Br 3.06-3.30
Tl (0.0599, 0.6551, 0.8013)  3 Br 3.06-3.30
Tl (0.5626, 0.9100, 0.0000)  5 Br 3.24-3.39
Tl (0.5599, 0.3449, 0.3013)  3 Br 3.06-3.30
Tl (0.0599, 0.6551, 0.1987)  3 Br 3.06-3.30
Cu (0.9896, 0.2079, 0.0000)  4 Br 2.48-2.53
Cu (0.4896, 0.7921, 0.5000)  4 Br 2.48-2.53

Properties
Energy above the most stable polymorph in this dataset (kJ/mol of atoms): 1.9
V (Å³ per atom): 38.1
Calculated total energy (eV per atom): -2.9002
Uncorrected formation energy (meV per atom): -664



No. 5
Compound: TlCu2Br2
Source: Alexandria
Functional: PBE
Structure: optimized geometry

Cell: 7.4705 7.4705 4.6978 Å, 90.00 90.00 90.00°
With the nearest neighbours (Å) after each atom.
Fractional positions:
Br (0.3250, 0.8250, 0.5000)  2 Cu 2.41
Br (0.6750, 0.1750, 0.5000)  2 Cu 2.41
Br (0.1750, 0.3250, 0.5000)  2 Cu 2.41
Br (0.8250, 0.6750, 0.5000)  2 Cu 2.41
Cu (0.3772, 0.8772, 0.0000)  2 Br 2.41, 1 Cu 2.59
Cu (0.8772, 0.6228, 0.0000)  2 Br 2.41, 1 Cu 2.59
Cu (0.6228, 0.1228, 0.0000)  2 Br 2.41, 1 Cu 2.59
Cu (0.1228, 0.3772, 0.0000)  2 Br 2.41, 1 Cu 2.59
Tl (0.0000, 0.0000, 0.0000)  4 Cu 2.96
Tl (0.5000, 0.5000, 0.0000)  4 Cu 2.96

Properties
Energy above the most stable polymorph in this dataset (kJ/mol of atoms): 4.9
V (Å³ per atom): 26.2
Calculated total energy (eV per atom): -2.8011
Uncorrected formation energy (meV per atom): -20
Fermi-level density of states (states/eV per atom): 0.41



No. 6
Compound: TlCuBr4
Source: Alexandria
Functional: PBE
Structure: optimized geometry

Cell: 7.0779 7.0779 9.1015 Å, 90.00 90.00 90.99°
With the nearest neighbours (Å) after each atom.
Fractional positions:
Br (0.7048, 0.3196, 0.9980)  1 Cu 2.44, 1 Tl 2.69
Br (0.6804, 0.2952, 0.5020)  1 Cu 2.44, 1 Tl 2.69
Br (0.2145, 0.2220, 0.7311)  1 Cu 2.42, 1 Tl 2.71
Br (0.2952, 0.6804, 0.4980)  1 Cu 2.44, 1 Tl 2.69
Br (0.3196, 0.7048, 0.0020)  1 Cu 2.44, 1 Tl 2.69
Br (0.7780, 0.7855, 0.7689)  1 Cu 2.42, 1 Tl 2.71
Br (0.2220, 0.2145, 0.2689)  1 Cu 2.42, 1 Tl 2.71
Br (0.7855, 0.7780, 0.2311)  1 Cu 2.42, 1 Tl 2.71
Tl (0.1639, 0.8361, 0.2500)  4 Br 2.69-2.71
Tl (0.8361, 0.1639, 0.7500)  4 Br 2.69-2.71
Cu (0.6607, 0.6607, 0.0000)  4 Br 2.42-2.44
Cu (0.3393, 0.3393, 0.5000)  4 Br 2.42-2.44

Properties
V (Å³ per atom): 38.0
Calculated total energy (eV per atom): -2.6248
Uncorrected formation energy (meV per atom): -433



> Which of these has the highest V?

Tl3CuBr4



> Which value of uncorrected formation energy does entry 4 give?

-664 meV per atom



> V of number 1 (Tl5CuBr6)?

37.8 Å³ per atom



> What is the formula in the sixth record?

TlCuBr4